[1]
Density functional theory data (PBE) for a relaxed structure of AgHg2Mo.

Structure (POSCAR):
```
AgHg2Mo
1.0
9.512 0.000 0.000
0.000 2.911 0.000
-0.853 0.000 5.581
Ag Hg Mo
2 4 2
Cartesian
0.000 0.000 0.000
4.756 1.455 0.000
1.723 0.000 4.151
2.180 1.455 1.430
6.479 1.455 4.151
6.936 0.000 1.430
-0.426 1.455 2.791
4.330 0.000 2.791
```


[2]
Density functional theory data (PBE) for a relaxed structure of AgHg2Mo.

Structure (POSCAR):
```
AgHg2Mo
1.0
2.913 0.000 0.000
0.000 5.376 0.000
0.000 0.000 10.053
Ag Hg Mo
2 4 2
Cartesian
0.000 0.000 0.000
1.457 2.688 5.027
0.000 2.688 2.503
0.000 2.688 7.551
1.457 0.000 2.524
1.457 0.000 7.529
0.000 0.000 5.027
1.457 2.688 0.000
```


[3]
Density functional theory data (PBE) for a relaxed structure of AgHg4Mo.

Structure (POSCAR):
```
AgHg4Mo
1.0
0.000 4.073 4.073
4.073 0.000 4.073
4.073 4.073 0.000
Ag Hg Mo
1 4 1
Cartesian
0.000 0.000 0.000
5.090 3.055 3.055
3.055 5.090 3.055
3.055 3.055 5.090
5.090 5.090 5.090
2.036 2.036 2.036
```


[4]
Density functional theory data (PBE) for a relaxed structure of AgHg2Mo.

Structure (POSCAR):
```
AgHg2Mo
1.0
4.358 0.000 0.000
0.000 4.358 0.000
0.000 0.000 8.252
Ag Hg Mo
2 4 2
Cartesian
0.000 0.000 0.000
2.179 2.179 4.126
0.000 0.000 4.126
0.000 2.179 6.189
2.179 0.000 2.063
2.179 2.179 0.000
0.000 2.179 2.063
2.179 0.000 6.189
```


[5]
Density functional theory data (PBE) for a relaxed structure of AgHg2Mo.

Structure (POSCAR):
```
AgHg2Mo
1.0
6.194 0.000 0.000
0.000 8.699 0.000
0.000 0.000 2.815
Ag Hg Mo
2 4 2
Cartesian
0.000 0.000 0.000
3.097 4.350 0.000
1.549 2.175 1.408
1.549 6.524 1.408
4.646 2.175 1.408
4.646 6.524 1.408
0.000 4.350 0.000
3.097 0.000 0.000
```


[6]
Density functional theory data (PBE) for a relaxed structure of AgHg2Mo.

Structure (POSCAR):
```
AgHg2Mo
1.0
2.883 0.000 0.000
0.000 2.883 0.000
0.000 0.000 9.278
Ag Hg Mo
1 2 1
Cartesian
0.000 0.000 0.000
0.000 0.000 4.981
1.442 1.442 2.330
1.442 1.442 7.179
```


[7]
Density functional theory data (PBE) for a relaxed structure of AgHgMo4.

Structure (POSCAR):
```
AgHgMo4
1.0
0.000 3.753 3.753
3.753 0.000 3.753
3.753 3.753 0.000
Ag Hg Mo
1 1 4
Cartesian
0.000 0.000 0.000
5.629 5.629 5.629
2.807 2.807 2.807
4.699 4.699 2.807
4.699 2.807 4.699
2.807 4.699 4.699
```


[8]
Density functional theory data (PBE) for a relaxed structure of AgHg2Mo.

Structure (POSCAR):
```
AgHg2Mo
1.0
2.894 0.000 0.000
0.000 4.363 0.000
0.000 0.000 6.080
Ag Hg Mo
1 2 1
Cartesian
0.000 0.000 0.000
0.000 0.000 3.238
1.447 2.181 1.464
1.447 2.181 4.588
```


[9]
Density functional theory data (PBE) for a relaxed structure of AgHg2Mo.

Structure (POSCAR):
```
AgHg2Mo
1.0
5.068 0.000 0.000
0.000 5.068 0.000
0.000 0.000 2.977
Ag Hg Mo
1 2 1
Cartesian
0.000 0.000 0.000
0.000 2.534 1.489
2.534 0.000 1.489
2.534 2.534 0.000
```


| no. | E_form (eV/atom) |
| --- | --- |
| 1 | 0.557 |
| 2 | 0.616 |
| 3 | 0.753 |
| 4 | 0.663 |
| 5 | 0.458 |
| 6 | 0.439 |
| 7 | 0.620 |
| 8 | 0.560 |
| 9 | 0.506 |